(1)
VASP calculation (PBE) on a geometry-optimized Tb6PrDy4 structure.

It has space group I-42m (No. 121), with a = 7.6370 Å, b = 7.6370 Å, c = 13.1072 Å, α = 90.00°, β = 90.00° and γ = 90.00°. The distinct sites, in fractional coordinates, are Tb at (0.0000, 0.5000, 0.0000), Tb at (0.2425, 0.2425, 0.1871), Pr at (0.0000, 0.0000, 0.0000) and Dy at (0.1648, 0.1648, 0.4229).

The calculation puts the energy above the lowest structure with this stoichiometry at 0.2977 eV per atom. As for the formation energy: 0.422 eV per atom. As for the density of states at the Fermi level: 29.5 states/eV per cell.



(2)
VASP calculation (PBE) on a geometry-optimized Tb5Pr2Dy5 structure.

It has space group C2/m (No. 12), with a = 15.1869 Å, b = 5.0568 Å, c = 11.3163 Å, α = 90.00°, β = 116.55° and γ = 90.00°. The distinct sites, in fractional coordinates, are Tb at (0.0000, 0.0000, 0.0000), Tb at (0.1675, 0.0000, 0.5000), Tb at (0.2483, 0.0000, 0.2489), Pr at (0.0830, 0.0000, 0.7495), Dy at (0.0000, 0.5000, 0.5000), Dy at (0.0844, 0.5000, 0.2500) and Dy at (0.1665, 0.5000, 0.0005).

As for the formation energy: 0.018 eV per atom. As for the density of states at the Fermi level: 34.6 states/eV per cell.



(3)
VASP calculation (PBE) on a geometry-optimized Tb2Pr5Dy4 structure.

It has space group C2/m (No. 12), with a = 17.8495 Å, b = 3.5727 Å, c = 11.7138 Å, α = 90.00°, β = 93.98° and γ = 90.00°. The distinct sites, in fractional coordinates, are Tb at (0.2161, 0.0000, 0.3534), Pr at (0.0000, 0.0000, 0.0000), Pr at (0.0967, 0.5000, 0.5360), Pr at (0.1768, 0.5000, 0.0716), Dy at (0.0352, 0.5000, 0.2608) and Dy at (0.1404, 0.0000, 0.7958).

The calculation puts the energy above the lowest structure with this stoichiometry at 0.0000 eV per atom. As for the formation energy: 0.074 eV per atom. As for the density of states at the Fermi level: 31.0 states/eV per cell.



(4)
VASP calculation (PBE) on a geometry-optimized Tb3Pr7Dy structure.

It has space group Immm (No. 71), with a = 5.9719 Å, b = 11.4624 Å, c = 11.4792 Å, α = 90.00°, β = 90.00° and γ = 90.00°. The distinct sites, in fractional coordinates, are Tb at (0.0000, 0.0000, 0.0000), Tb at (0.0000, 0.5000, 0.2950), Pr at (0.0000, 0.1930, 0.2096), Pr at (0.0000, 0.2905, 0.5000), Pr at (0.0000, 0.5000, 0.0000) and Dy at (0.0000, 0.0000, 0.5000).

The calculation puts the energy above the lowest structure with this stoichiometry at 0.1496 eV per atom. As for the formation energy: 0.220 eV per atom. As for the density of states at the Fermi level: 29.6 states/eV per cell.



(5)
VASP calculation (PBE) on a geometry-optimized TbPr8Dy2 structure.

It has space group C2/m (No. 12), with a = 14.5379 Å, b = 6.8650 Å, c = 8.7523 Å, α = 90.00°, β = 115.57° and γ = 90.00°. The distinct sites, in fractional coordinates, are Tb at (0.0000, 0.0000, 0.0000), Pr at (0.0957, 0.2582, 0.3865), Pr at (0.1087, 0.5000, 0.9945), Pr at (0.2394, 0.5000, 0.7802) and Dy at (0.1411, 0.0000, 0.7575).

The calculation puts the energy above the lowest structure with this stoichiometry at 0.0339 eV per atom. As for the formation energy: 0.198 eV per atom. As for the density of states at the Fermi level: 32.6 states/eV per cell.



(6)
VASP calculation (PBE) on a geometry-optimized Tb12PrDy3 structure.

It has space group P4/mmm (No. 123), with a = 5.0431 Å, b = 5.0431 Å, c = 20.1685 Å, α = 90.00°, β = 90.00° and γ = 90.00°. The distinct sites, in fractional coordinates, are Tb at (0.0000, 0.0000, 0.0000), Tb at (0.0000, 0.0000, 0.2482), Tb at (0.0000, 0.0000, 0.5000), Tb at (0.0000, 0.5000, 0.1243), Tb at (0.0000, 0.5000, 0.3729), Pr at (0.5000, 0.5000, 0.5000), Dy at (0.5000, 0.5000, 0.0000) and Dy at (0.5000, 0.5000, 0.2487).

As for the formation energy: 0.018 eV per atom. As for the density of states at the Fermi level: 21.5 states/eV per cell.



(7)
VASP calculation (PBE) on a geometry-optimized Tb8Pr3Dy2 structure.

It has space group C2/m (No. 12), with a = 20.1999 Å, b = 7.7419 Å, c = 5.6897 Å, α = 90.00°, β = 90.06° and γ = 90.00°. The distinct sites, in fractional coordinates, are Tb at (0.1093, 0.2087, 0.0003), Tb at (0.1361, 0.5000, 0.4993), Tb at (0.1727, 0.0000, 0.5013), Pr at (0.0000, 0.2077, 0.5000), Pr at (0.0000, 0.5000, 0.0000) and Dy at (0.2416, 0.5000, 0.9983).

The calculation puts the energy above the lowest structure with this stoichiometry at 0.0699 eV per atom. As for the formation energy: 0.242 eV per atom. As for the density of states at the Fermi level: 43.0 states/eV per cell.



(8)
VASP calculation (PBE) on a geometry-optimized Tb4Pr8Dy structure.

It has space group R-3m (No. 166, hexagonal axes), with a = 7.3365 Å, b = 7.3365 Å, c = 29.3416 Å, α = 90.00°, β = 90.00° and γ = 120.00°. The distinct sites, in fractional coordinates, are Tb at (0.0000, 0.0000, 0.0000), Tb at (0.0000, 0.5000, 0.0000), Pr at (0.0000, 0.0000, 0.2119), Pr at (0.0301, 0.5150, 0.7636) and Dy at (0.0000, 0.0000, 0.5000).

As for the formation energy: 0.184 eV per atom. As for the density of states at the Fermi level: 39.2 states/eV per cell.



(9)
VASP calculation (PBE) on a geometry-optimized Tb4Pr4Dy structure.

It has space group C2/m (No. 12), with a = 11.4246 Å, b = 5.1450 Å, c = 10.8869 Å, α = 90.00°, β = 108.21° and γ = 90.00°. The distinct sites, in fractional coordinates, are Tb at (0.1661, 0.0000, 0.0539), Tb at (0.1683, 0.0000, 0.7243), Pr at (0.0012, 0.5000, 0.8330), Pr at (0.1666, 0.0000, 0.3890) and Dy at (0.0000, 0.5000, 0.5000).

As for the formation energy: 0.017 eV per atom. As for the density of states at the Fermi level: 26.1 states/eV per cell.



(10)
VASP calculation (PBE) on a geometry-optimized Tb2Pr5Dy4 structure.

It has space group Immm (No. 71), with a = 3.5464 Å, b = 9.2363 Å, c = 23.6647 Å, α = 90.00°, β = 90.00° and γ = 90.00°. The distinct sites, in fractional coordinates, are Tb at (0.0000, 0.0000, 0.2304), Pr at (0.0000, 0.2017, 0.3531), Pr at (0.0000, 0.5000, 0.0000), Dy at (0.0000, 0.0000, 0.0965) and Dy at (0.0000, 0.3127, 0.5000).

The calculation puts the energy above the lowest structure with this stoichiometry at 0.1174 eV per atom. As for the formation energy: 0.192 eV per atom. As for the density of states at the Fermi level: 34.9 states/eV per cell.



(11)
VASP calculation (PBE) on a geometry-optimized Tb7Pr2Dy2 structure.

It has space group C2/m (No. 12), with a = 11.3535 Å, b = 11.5266 Å, c = 6.0789 Å, α = 90.00°, β = 113.26° and γ = 90.00°. The distinct sites, in fractional coordinates, are Tb at (0.0000, 0.0000, 0.0000), Tb at (0.0868, 0.5000, 0.8019), Tb at (0.1746, 0.2353, 0.1736), Pr at (0.2309, 0.0000, 0.5919) and Dy at (0.0000, 0.2192, 0.5000).

The calculation puts the energy above the lowest structure with this stoichiometry at 0.0043 eV per atom. As for the formation energy: 0.152 eV per atom. As for the density of states at the Fermi level: 34.4 states/eV per cell.



(12)
VASP calculation (PBE) on a geometry-optimized Tb4Pr5Dy2 structure.

It has space group Immm (No. 71), with a = 3.5460 Å, b = 9.2638 Å, c = 23.6613 Å, α = 90.00°, β = 90.00° and γ = 90.00°. The distinct sites, in fractional coordinates, are Tb at (0.0000, 0.0000, 0.0966), Tb at (0.0000, 0.3109, 0.5000), Pr at (0.0000, 0.2023, 0.3522), Pr at (0.0000, 0.5000, 0.0000) and Dy at (0.0000, 0.0000, 0.2302).

The calculation puts the energy above the lowest structure with this stoichiometry at 0.1237 eV per atom. As for the formation energy: 0.198 eV per atom. As for the density of states at the Fermi level: 35.1 states/eV per cell.



| no. | DFT total energy (eV/atom) |
| --- | --- |
| 1 | -4.21 |
| 2 | -4.63 |
| 3 | -4.61 |
| 4 | -4.50 |
| 5 | -4.54 |
| 6 | -4.62 |
| 7 | -4.42 |
| 8 | -4.54 |
| 9 | -4.68 |
| 10 | -4.50 |
| 11 | -4.50 |
| 12 | -4.49 |